The following is a DFT calculation (PBE) of a relaxed CsCa2Rh2 crystal.

Values from the calculation:
As for the symmetry: P4/mbm (127). As for the total magnetic moment: 0.00 μB per cell. The energy relative to the elements comes out at 0.076 eV/atom. The value obtained for the electronic total energy is -38.36 eV per cell.

a = 8.5517 Å, b = 8.5517 Å, c = 3.4701 Å
α = 90.00°, β = 90.00°, γ = 90.00°
Positions (direct):
Cs 0.0000 0.0000 0.0000
Cs 0.5000 0.5000 0.0000
Ca 0.1443 0.6443 0.5000
Ca 0.6443 0.8557 0.5000
Ca 0.8557 0.3557 0.5000
Ca 0.3557 0.1443 0.5000
Rh 0.3654 0.8654 0.0000
Rh 0.8654 0.6346 0.0000
Rh 0.6346 0.1346 0.0000
Rh 0.1346 0.3654 0.0000



The following is a DFT calculation (PBE) of a relaxed CsCa2RhSe crystal.

Values from the calculation:
As for the symmetry: P4/mmm (123). As for the total magnetic moment: 0.00 μB per cell. The value obtained for the electronic total energy is -11.40 eV per cell.

a = 5.9788 Å, b = 4.8520 Å, c = 5.9788 Å
α = 90.00°, β = 90.00°, γ = 90.00°
Positions (direct):
Cs 0.0000 0.0000 0.0000
Ca 0.0000 0.0000 0.5000
Ca 0.5000 0.0000 0.0000
Rh 0.0000 0.5000 0.0000
Se 0.5000 0.5000 0.5000



The following is a DFT calculation (PBE) of a relaxed CsCa2RhSe crystal.

Values from the calculation:
As for the symmetry: P4/mmm (123). As for the total magnetic moment: 0.00 μB per cell. The value obtained for the electronic total energy is -16.65 eV per cell.

a = 5.6890 Å, b = 4.9889 Å, c = 5.6890 Å
α = 90.00°, β = 90.00°, γ = 90.00°
Positions (direct):
Cs 0.5000 0.5000 0.5000
Ca 0.0000 0.0000 0.5000
Ca 0.5000 0.0000 0.0000
Rh 0.0000 0.5000 0.0000
Se 0.0000 0.0000 0.0000



The following is a DFT calculation (PBE) of a relaxed CsSrCa2Rh crystal.

Values from the calculation:
As for the symmetry: P4/mmm (123). As for the total magnetic moment: 0.00 μB per cell. The energy relative to the elements comes out at -0.081 eV/atom. The value obtained for the electronic total energy is -14.30 eV per cell.

a = 5.8097 Å, b = 6.0822 Å, c = 5.8097 Å
α = 90.00°, β = 90.00°, γ = 90.00°
Positions (direct):
Cs 0.5000 0.5000 0.5000
Sr 0.0000 0.5000 0.0000
Ca 0.0000 0.0000 0.5000
Ca 0.5000 0.0000 0.0000
Rh 0.0000 0.0000 0.0000



The following is a DFT calculation (PBE) of a relaxed CsCaTl2Rh crystal.

Values from the calculation:
As for the symmetry: P4/mmm (123). As for the total magnetic moment: 0.00 μB per cell. The energy relative to the elements comes out at -0.149 eV/atom. The value obtained for the electronic total energy is -15.68 eV per cell.

a = 5.4834 Å, b = 5.4834 Å, c = 5.4478 Å
α = 90.00°, β = 90.00°, γ = 90.00°
Positions (direct):
Cs 0.5000 0.5000 0.5000
Tl 0.0000 0.5000 0.0000
Tl 0.5000 0.0000 0.0000
Rh 0.0000 0.0000 0.0000
Ca 0.0000 0.0000 0.5000



The following is a DFT calculation (PBE) of a relaxed CsCa2TlRh crystal.

Values from the calculation:
As for the symmetry: P4/mmm (123). As for the total magnetic moment: 0.00 μB per cell. The energy relative to the elements comes out at -0.150 eV/atom. The value obtained for the electronic total energy is -15.32 eV per cell.

a = 5.6360 Å, b = 5.6360 Å, c = 5.5090 Å
α = 90.00°, β = 90.00°, γ = 90.00°
Positions (direct):
Cs 0.5000 0.5000 0.5000
Tl 0.0000 0.0000 0.5000
Rh 0.0000 0.0000 0.0000
Ca 0.0000 0.5000 0.0000
Ca 0.5000 0.0000 0.0000



The following is a DFT calculation (PBE) of a relaxed CsCaTl2Rh crystal.

Values from the calculation:
As for the symmetry: P4/mmm (123). As for the total magnetic moment: 0.00 μB per cell. The energy relative to the elements comes out at 0.238 eV/atom. The value obtained for the electronic total energy is -13.75 eV per cell.

a = 5.4468 Å, b = 5.8699 Å, c = 5.4468 Å
α = 90.00°, β = 90.00°, γ = 90.00°
Positions (direct):
Cs 0.0000 0.5000 0.0000
Tl 0.0000 0.0000 0.5000
Tl 0.5000 0.0000 0.0000
Rh 0.0000 0.0000 0.0000
Ca 0.5000 0.5000 0.5000



The following is a DFT calculation (PBE) of a relaxed CsCaZn2Rh crystal.

Values from the calculation:
As for the symmetry: P4/mmm (123). As for the total magnetic moment: 0.00 μB per cell. The energy relative to the elements comes out at -0.070 eV/atom. The value obtained for the electronic total energy is -13.10 eV per cell.

a = 5.1768 Å, b = 5.1768 Å, c = 5.2590 Å
α = 90.00°, β = 90.00°, γ = 90.00°
Positions (direct):
Cs 0.5000 0.5000 0.5000
Zn 0.0000 0.5000 0.0000
Zn 0.5000 0.0000 0.0000
Rh 0.0000 0.0000 0.0000
Ca 0.0000 0.0000 0.5000